First-principles (PBE) data for a geometry-optimized AgPbI3 structure, as listed in the Alexandria database.

Computed properties:
The value obtained for the uncorrected formation energy is 0.0091 eV/atom. For the size of the total moment, the calculation gives 0.00 μB per formula unit. The energy above the most stable polymorph in this dataset comes out at 0.481 eV per atom. Its total energy is -2.23 eV/atom.

a b c (Å): 6.251 6.251 6.251
angles (deg): 90.00 90.00 90.00
Space group Pm-3m (No. 221)
One atom of each set of equivalent atoms:
Ag: 0.000 0.000 0.000
Pb: 0.500 0.500 0.500
I: 0.000 0.500 0.500